The following is a DFT calculation (GGA-PBE) of KScAg2 after structural relaxation.

abc: 8.1174 8.1174 6.8290
angles: 90.00 90.00 90.00
Sites, in units of the cell vectors:
K  0.0000  0.0000  0.0000
K  0.0000  0.5000  0.2500
K  0.5000  0.0000  0.7500
K  0.5000  0.5000  0.5000
Sc  0.0000  0.0000  0.5000
Sc  0.0000  0.5000  0.7500
Sc  0.5000  0.0000  0.2500
Sc  0.5000  0.5000  0.0000
Ag  0.2079  0.2500  0.6250
Ag  0.2500  0.7079  0.8750
Ag  0.2500  0.7921  0.3750
Ag  0.2921  0.2500  0.1250
Ag  0.7079  0.7500  0.1250
Ag  0.7500  0.2079  0.3750
Ag  0.7500  0.2921  0.8750
Ag  0.7921  0.7500  0.6250

calculated volume = 450.0 Å³/cell
Fermi-level density of states = 0.79 states/eV/atom
symmetry = I-42d (122)
raw total energy = -46.35 eV/cell
DFT formation energy = 0.39 eV/atom
magnetization = 0.000 μB per cell